Here is a geometry-optimized Rb2CdPb3 structure from Alexandria via LeMat-Bulk. Energies are from GGA-PBE.

## Properties
Uncorrected energy   -2.4726 eV per atom
Volume   447 Å³/cell
Formation energy from the elements   -0.86 eV per formula unit

Cell: 12.767 5.478 8.836 Å, 90.00 133.71 90.00°
Space group Cm (No. 8)
Inequivalent atoms, fractional coordinates:
Rb (0.000, 0.000, 0.000) (multiplicity 2)
Rb (0.005, 0.500, 0.359) (multiplicity 2)
Cd (0.173, 0.000, 0.769) (multiplicity 2)
Pb (0.167, 0.500, 0.928) (multiplicity 2)
Pb (0.321, 0.000, 0.596) (multiplicity 2)
Pb (0.338, 0.500, 0.416) (multiplicity 2)

Here is a geometry-optimized CdMo3 structure from Alexandria via LeMat-Bulk. Energies are from GGA-PBE.

## Properties
Uncorrected energy   -7.8617 eV per atom
Volume   133 Å³/cell
Formation energy from the elements   1.96 eV per formula unit

Cell: 4.055 4.055 8.118 Å, 90.00 90.00 90.00°
Space group I4/mmm (No. 139)
Inequivalent atoms, fractional coordinates:
Cd (0.000, 0.000, 0.000) (multiplicity 2)
Mo (0.000, 0.000, 0.500) (multiplicity 2)
Mo (0.000, 0.500, 0.250) (multiplicity 4)

Here is a geometry-optimized PrHoRh structure from Alexandria via LeMat-Bulk. Energies are from GGA-PBE.

## Properties
Uncorrected energy   -6.0615 eV per atom
Volume   332 Å³/cell
Formation energy from the elements   -1.48 eV per formula unit

Cell: 6.924 6.924 6.924 Å, 90.00 90.00 90.00°
Space group F-43m (No. 216)
Inequivalent atoms, fractional coordinates:
Pr (0.000, 0.000, 0.000) (multiplicity 4)
Ho (0.000, 0.000, 0.500) (multiplicity 4)
Rh (0.250, 0.250, 0.750) (multiplicity 4)

Here is a geometry-optimized Li4ScPa3Se8 structure from Alexandria via LeMat-Bulk. Energies are from GGA-PBE.

## Properties
Uncorrected energy   -5.7395 eV per atom
Volume   1086 Å³/cell
ΔE_f (raw)   -1.343 eV/atom

Cell: 7.9105 7.9105 20.0375 Å, 90.00 90.00 120.00°
Space group R-3m (No. 166, hexagonal axes)
Inequivalent atoms, fractional coordinates:
Li (0.0000, 0.0000, 0.0000) (multiplicity 3)
Li (0.0000, 0.5000, 0.0000) (multiplicity 9)
Sc (0.0000, 0.0000, 0.5000) (multiplicity 3)
Pa (0.0000, 0.5000, 0.5000) (multiplicity 9)
Se (0.0000, 0.0000, 0.2565) (multiplicity 6)
Se (0.0118, 0.5059, 0.2520) (multiplicity 18)

Here is a geometry-optimized ZnSeF3 structure from Alexandria via LeMat-Bulk. Energies are from GGA-PBE.

## Properties
Uncorrected energy   -2.8028 eV per atom
Volume   84 Å³/cell
ΔE_f (raw)   -0.728 eV/atom

Cell: 4.377 4.377 4.377 Å, 90.00 90.00 90.00°
Space group Pm-3m (No. 221)
Inequivalent atoms, fractional coordinates:
Zn (0.000, 0.000, 0.000) (multiplicity 1)
Se (0.500, 0.500, 0.500) (multiplicity 1)
F (0.000, 0.500, 0.500) (multiplicity 3)

Here is a geometry-optimized ScTeOs structure from Alexandria via LeMat-Bulk. Energies are from GGA-PBE.

## Properties
Uncorrected energy   -6.9214 eV per atom
Volume   117 Å³/cell
ΔE_f (raw)   -0.020 eV/atom

Cell: 3.225 3.225 11.297 Å, 90.00 90.00 90.00°
Space group I4mm (No. 107)
Inequivalent atoms, fractional coordinates:
Sc (0.000, 0.000, 0.000) (multiplicity 2)
Te (0.000, 0.000, 0.297) (multiplicity 2)
Os (0.000, 0.000, 0.648) (multiplicity 2)

Here is a geometry-optimized Pm5Er12Sc2 structure from Alexandria via LeMat-Bulk. Energies are from GGA-PBE.

## Properties
Uncorrected energy   -4.6222 eV per atom
Volume   1202 Å³/cell
Formation energy from the elements   3.35 eV per formula unit

Cell: 18.398 7.176 9.839 Å, 90.00 112.29 90.00°
Space group C2/m (No. 12)
Inequivalent atoms, fractional coordinates:
Pm (0.000, 0.000, 0.000) (multiplicity 2)
Pm (0.182, 0.500, 0.706) (multiplicity 4)
Pm (0.189, 0.000, 0.694) (multiplicity 4)
Er (0.001, 0.500, 0.814) (multiplicity 4)
Er (0.014, 0.000, 0.715) (multiplicity 4)
Er (0.158, 0.248, 0.364) (multiplicity 8)
Er (0.161, 0.248, 0.006) (multiplicity 8)
Sc (0.000, 0.303, 0.500) (multiplicity 4)

Here is a geometry-optimized KGe2Au7 structure from Alexandria via LeMat-Bulk. Energies are from GGA-PBE.

## Properties
Uncorrected energy   -3.3364 eV per atom
Volume   471 Å³/cell
Formation energy from the elements   -0.09 eV per formula unit

Cell: 7.683 12.397 4.941 Å, 90.00 90.00 90.00°
Space group Cmmm (No. 65)
Inequivalent atoms, fractional coordinates:
K (0.000, 0.000, 0.000) (multiplicity 2)
Ge (0.000, 0.289, 0.500) (multiplicity 4)
Au (0.000, 0.359, 0.000) (multiplicity 4)
Au (0.000, 0.500, 0.500) (multiplicity 2)
Au (0.186, 0.117, 0.500) (multiplicity 8)

Here is a geometry-optimized CaPr2ScTe4 structure from Alexandria via LeMat-Bulk. Energies are from GGA-PBE.

## Properties
Uncorrected energy   -5.1849 eV per atom
Volume   246 Å³/cell
ΔE_f (raw)   -1.378 eV/atom

Cell: 7.615 4.375 7.787 Å, 90.00 108.71 90.00°
Space group P2/m (No. 10)
Inequivalent atoms, fractional coordinates:
Ca (0.000, 0.000, 0.000) (multiplicity 1)
Pr (0.000, 0.500, 0.500) (multiplicity 1)
Pr (0.500, 0.000, 0.500) (multiplicity 1)
Sc (0.500, 0.500, 0.000) (multiplicity 1)
Te (0.253, 0.500, 0.234) (multiplicity 2)
Te (0.265, 0.000, 0.772) (multiplicity 2)

Here is a geometry-optimized Cs2Ti2C structure from Alexandria via LeMat-Bulk. Energies are from GGA-PBE.

## Properties
Uncorrected energy   -2.9795 eV per atom
Volume   312 Å³/cell
Formation energy from the elements   11.82 eV per formula unit

Cell: 4.390 4.390 16.180 Å, 90.00 90.00 90.00°
Space group I4/mmm (No. 139)
Inequivalent atoms, fractional coordinates:
Cs (0.000, 0.500, 0.250) (multiplicity 4)
Ti (0.000, 0.000, 0.060) (multiplicity 4)
C (0.000, 0.000, 0.500) (multiplicity 2)

Here is a geometry-optimized MgH2RuRh structure from Alexandria via LeMat-Bulk. Energies are from GGA-PBE.

## Properties
Uncorrected energy   -4.6425 eV per atom
Volume   63 Å³/cell

Cell: 3.622 3.622 4.801 Å, 90.00 90.00 90.00°
Space group P4/mmm (No. 123)
Inequivalent atoms, fractional coordinates:
Mg (0.000, 0.000, 0.000) (multiplicity 1)
H (0.000, 0.500, 0.500) (multiplicity 2)
Ru (0.500, 0.500, 0.500) (multiplicity 1)
Rh (0.500, 0.500, 0.000) (multiplicity 1)

Here is a geometry-optimized BaNaTa structure from Alexandria via LeMat-Bulk. Energies are from GGA-PBE.

## Properties
Uncorrected energy   -4.2506 eV per atom
Volume   233 Å³/cell
Formation energy from the elements   2.34 eV per formula unit

Cell: 4.566 6.666 8.587 Å, 72.84 89.94 70.04°
Space group P1 (No. 1)
Inequivalent atoms, fractional coordinates:
Ba (0.000, 0.000, 0.000) (multiplicity 1)
Ba (0.306, 0.387, 0.510) (multiplicity 1)
Na (0.635, 0.725, 0.718) (multiplicity 1)
Na (0.765, 0.468, 0.156) (multiplicity 1)
Ta (0.010, 0.977, 0.425) (multiplicity 1)
Ta (0.520, 0.959, 0.311) (multiplicity 1)

Here is a geometry-optimized Si2NiAg structure from Alexandria via LeMat-Bulk. Energies are from GGA-PBE.

## Properties
Uncorrected energy   -4.7398 eV per atom
Volume   57 Å³/cell
ΔE_f (raw)   0.130 eV/atom

Cell: 2.780 2.780 7.390 Å, 90.00 90.00 90.00°
Space group P4mm (No. 99)
Inequivalent atoms, fractional coordinates:
Si (0.000, 0.000, 0.000) (multiplicity 1)
Si (0.500, 0.500, 0.250) (multiplicity 1)
Ni (0.500, 0.500, 0.824) (multiplicity 1)
Ag (0.000, 0.000, 0.549) (multiplicity 1)

Here is a geometry-optimized HoTm3O structure from Alexandria via LeMat-Bulk. Energies are from GGA-PBE.

## Properties
Uncorrected energy   -5.6834 eV per atom
Volume   115 Å³/cell
ΔE_f (raw)   -1.093 eV/atom

Cell: 4.864 4.864 4.864 Å, 90.00 90.00 90.00°
Space group Pm-3m (No. 221)
Inequivalent atoms, fractional coordinates:
Ho (0.000, 0.000, 0.000) (multiplicity 1)
Tm (0.000, 0.500, 0.500) (multiplicity 3)
O (0.500, 0.500, 0.500) (multiplicity 1)

Here is a geometry-optimized KZn2Ni structure from Alexandria via LeMat-Bulk. Energies are from GGA-PBE.

## Properties
Uncorrected energy   -2.0364 eV per atom
Volume   227 Å³/cell
Formation energy from the elements   1.28 eV per formula unit

Cell: 3.0385 3.0385 28.3566 Å, 90.00 90.00 120.00°
Space group R-3m (No. 166, hexagonal axes)
Inequivalent atoms, fractional coordinates:
K (0.0000, 0.0000, 0.0000) (multiplicity 3)
Zn (0.0000, 0.0000, 0.2295) (multiplicity 6)
Ni (0.0000, 0.0000, 0.5000) (multiplicity 3)

Here is a geometry-optimized Ag2RuF7 structure from Alexandria via LeMat-Bulk. Energies are from GGA-PBE.

## Properties
Uncorrected energy   -4.1782 eV per atom
Volume   576 Å³/cell
ΔE_f (raw)   -1.370 eV/atom

Cell: 12.545 6.474 8.894 Å, 90.00 127.09 90.00°
Space group C2/c (No. 15)
Inequivalent atoms, fractional coordinates:
Ag (0.195, 0.088, 0.287) (multiplicity 8)
Ru (0.000, 0.352, 0.750) (multiplicity 4)
F (0.000, 0.045, 0.750) (multiplicity 4)
F (0.111, 0.283, 0.667) (multiplicity 8)
F (0.118, 0.402, 0.323) (multiplicity 8)
F (0.144, 0.312, 0.021) (multiplicity 8)

Here is a geometry-optimized YMgRe2 structure from Alexandria via LeMat-Bulk. Energies are from GGA-PBE.

## Properties
Uncorrected energy   -7.7610 eV per atom
Volume   142 Å³/cell
Formation energy from the elements   1.91 eV per formula unit

Cell: 3.273 4.540 9.547 Å, 90.00 90.00 90.00°
Space group Cmmm (No. 65)
Inequivalent atoms, fractional coordinates:
Y (0.000, 0.000, 0.000) (multiplicity 2)
Mg (0.000, 0.000, 0.500) (multiplicity 2)
Re (0.000, 0.500, 0.262) (multiplicity 4)